Entry 1:
A geometry-optimized La4Tb2PrNd structure. Source: Alexandria, functional GGA-PBE.

```
data_La4Tb2PrNd
_cell_length_a 6.397
_cell_length_b 3.698
_cell_length_c 12.118
_cell_angle_alpha 90.00
_cell_angle_beta 100.18
_cell_angle_gamma 90.00
_space_group_name_H-M_alt 'P 1 2/m 1'
_space_group_IT_number 10
_space_group_name_Hall '-P 2y'
loop_
_atom_site_label
_atom_site_type_symbol
_atom_site_fract_x
_atom_site_fract_y
_atom_site_fract_z
La1 La 0.248 0.000 0.246
La2 La 0.251 0.500 0.754
Tb1 Tb 0.000 0.500 0.000
Tb2 Tb 0.500 0.000 0.000
Pr1 Pr 0.500 0.500 0.500
Nd1 Nd 0.000 0.000 0.500
```

VASP energy ... -4.802 eV per atom
Total magnetic moment ... 0.0 μB per formula unit
ρ ... 6.82 g/cm3
Calculated formation energy ... 0.012 eV per atom
Crystal system ... monoclinic


Entry 2:
A geometry-optimized HoNb2Ni9 structure. Source: Alexandria, functional GGA-PBE.

```
data_HoNb2Ni9
_cell_length_a 4.8196
_cell_length_b 4.8196
_cell_length_c 23.6013
_cell_angle_alpha 90.00
_cell_angle_beta 90.00
_cell_angle_gamma 120.00
_space_group_name_H-M_alt 'R -3 m'
_space_group_IT_number 166
_space_group_name_Hall '-R 3 2"'
loop_
_atom_site_label
_atom_site_type_symbol
_atom_site_fract_x
_atom_site_fract_y
_atom_site_fract_z
Ho1 Ho 0.0000 0.0000 0.0000
Nb1 Nb 0.0000 0.0000 0.1416
Ni1 Ni 0.0000 0.0000 0.3336
Ni2 Ni 0.0000 0.0000 0.5000
Ni3 Ni 0.0047 0.5023 0.9137
```

VASP energy ... -6.676 eV per atom
Total magnetic moment ... 0.0 μB per formula unit
ρ ... 9.22 g/cm3
Calculated formation energy ... -0.281 eV per atom
Crystal system ... trigonal


Entry 3:
A geometry-optimized TlCu3Mo structure. Source: Alexandria, functional GGA-PBE.

```
data_TlCu3Mo
_cell_length_a 4.802
_cell_length_b 4.802
_cell_length_c 4.802
_cell_angle_alpha 90.00
_cell_angle_beta 90.00
_cell_angle_gamma 90.00
_space_group_name_H-M_alt 'P m -3 m'
_space_group_IT_number 221
_space_group_name_Hall '-P 4 2 3'
loop_
_atom_site_label
_atom_site_type_symbol
_atom_site_fract_x
_atom_site_fract_y
_atom_site_fract_z
Tl1 Tl 0.000 0.000 0.000
Cu1 Cu 0.000 0.500 0.500
Mo1 Mo 0.500 0.500 0.500
```

VASP energy ... -3.802 eV per atom
Total magnetic moment ... 0.0 μB per formula unit
ρ ... 7.36 g/cm3
Offset from the most stable computed form ... 0.000 eV/atom
Calculated formation energy ... 1.295 eV per atom
Crystal system ... cubic


Entry 4:
A geometry-optimized Li4SmSi2 structure. Source: Alexandria, functional GGA-PBE.

```
data_Li4SmSi2
_cell_length_a 4.059
_cell_length_b 16.351
_cell_length_c 4.076
_cell_angle_alpha 90.00
_cell_angle_beta 90.00
_cell_angle_gamma 90.00
_space_group_name_H-M_alt 'C m m m'
_space_group_IT_number 65
_space_group_name_Hall '-C 2 2'
loop_
_atom_site_label
_atom_site_type_symbol
_atom_site_fract_x
_atom_site_fract_y
_atom_site_fract_z
Li1 Li 0.000 0.174 0.000
Li2 Li 0.000 0.325 0.500
Sm1 Sm 0.000 0.500 0.000
Si1 Si 0.000 0.071 0.500
```

VASP energy ... -3.642 eV per atom
Total magnetic moment ... 0.0 μB per formula unit
ρ ... 2.88 g/cm3
Formation energy (no corrections) ... -0.33 eV per atom
Crystal system ... orthorhombic


Entry 5:
A geometry-optimized CeGdRu structure. Source: Alexandria, functional GGA-PBE.

```
data_CeGdRu
_cell_length_a 3.398
_cell_length_b 3.398
_cell_length_c 13.241
_cell_angle_alpha 90.00
_cell_angle_beta 90.00
_cell_angle_gamma 90.00
_space_group_name_H-M_alt 'I 4 m m'
_space_group_IT_number 107
_space_group_name_Hall 'I 4 -2'
loop_
_atom_site_label
_atom_site_type_symbol
_atom_site_fract_x
_atom_site_fract_y
_atom_site_fract_z
Ce1 Ce 0.000 0.000 0.000
Gd1 Gd 0.000 0.000 0.742
Ru1 Ru 0.000 0.000 0.376
```

VASP energy ... -9.974 eV per atom
Total magnetic moment ... 6.5 μB per formula unit
ρ ... 8.66 g/cm3
Offset from the most stable computed form ... 0.000 eV/atom
Calculated formation energy ... -0.210 eV per atom
Crystal system ... tetragonal


> The highest VASP energy belongs to which entry?

Li4SmSi2


Copy entry 5 word for word.
A geometry-optimized CeGdRu structure. Source: Alexandria, functional GGA-PBE.

```
data_CeGdRu
_cell_length_a 3.398
_cell_length_b 3.398
_cell_length_c 13.241
_cell_angle_alpha 90.00
_cell_angle_beta 90.00
_cell_angle_gamma 90.00
_space_group_name_H-M_alt 'I 4 m m'
_space_group_IT_number 107
_space_group_name_Hall 'I 4 -2'
loop_
_atom_site_label
_atom_site_type_symbol
_atom_site_fract_x
_atom_site_fract_y
_atom_site_fract_z
Ce1 Ce 0.000 0.000 0.000
Gd1 Gd 0.000 0.000 0.742
Ru1 Ru 0.000 0.000 0.376
```

VASP energy ... -9.974 eV per atom
Total magnetic moment ... 6.5 μB per formula unit
ρ ... 8.66 g/cm3
Offset from the most stable computed form ... 0.000 eV/atom
Calculated formation energy ... -0.210 eV per atom
Crystal system ... tetragonal


> What is the formula in the second record?

HoNb2Ni9